1.
meta-GGA SCAN TaTcSe2, single point on PBEsol structure; DOS at the Fermi energy = 1.751 states/eV/cell; spin magnetization = 0.0 μB per formula unit; total energy = -35.894 eV/atom; calculated volume = 20.71 Å³ per atom; energy relative to the elements, uncorrected = -0.44 eV per atom; energy above the lowest structure with this stoichiometry = 0 meV per atom
1.0
-0.085 -3.295 0.486
2.709 0.407 3.233
-4.508 0.662 3.694
Se Ta Tc
2 1 1
Direct
0.500 0.000 0.078
0.000 0.500 0.666
0.000 0.000 0.404
0.500 0.500 0.352


2.
meta-GGA SCAN TaTcSe2, single point on PBEsol structure; DOS at the Fermi energy = 2.612 states/eV/cell; spin magnetization = 0.0 μB per formula unit; total energy = -35.365 eV/atom; calculated volume = 16.14 Å³ per atom; energy relative to the elements, uncorrected = 0.09 eV per atom; energy above the lowest structure with this stoichiometry = 529 meV per atom
1.0
-1.527 2.357 -1.383
-2.597 0.340 3.446
5.082 1.764 0.938
Se Ta Tc
2 1 1
Direct
0.976 0.976 0.952
0.757 0.257 0.514
0.497 0.497 0.993
0.270 0.770 0.540